Entry from Alexandria: crystalline MnGeAsSe2 at its relaxed geometry (GGA-PBE).

POSCAR file:
```
MnGeAsSe2
1.0
4.996 0.000 0.000
0.000 4.996 0.000
0.000 0.000 4.927
As Mn Ge Se
1 1 1 2
direct
0.000 0.000 0.500 As
0.500 0.500 0.500 Mn
0.000 0.000 0.000 Ge
0.000 0.500 0.000 Se
0.500 0.000 0.000 Se
```

Computed properties:
Formation energy without anion corrections = 15.1 kcal/mol of atoms
Density = 4.87 g cm⁻³
Relative energy among the computed polymorphs = 326 meV per atom
Symmetry = P4/mmm, No. 123